Entry 1:
Here is a relaxed Sr2CaTlRh crystal from Alexandria via LeMat-Bulk. Energies are from PBE.

extended XYZ file:
```
5
Lattice="5.813 0.000 0.000 0.000 5.813 0.000 0.000 0.000 5.464" Properties=species:S:1:pos:R:3 pbc="T T T"
Sr 0.000 2.906 0.000
Sr 2.906 0.000 0.000
Ca 0.000 0.000 2.732
Tl 2.906 2.906 2.732
Rh 0.000 0.000 0.000
```

Properties
The calculation puts the electronic total energy at -16.14 eV for the cell shown. The space group is No. 123. Its crystal system is tetragonal. As for the magnetization: 0.000 μB/atom.



Entry 2:
Here is a relaxed Sr2CaTlRh crystal from Alexandria via LeMat-Bulk. Energies are from PBE.

extended XYZ file:
```
5
Lattice="5.775 0.000 0.000 0.000 5.775 0.000 0.000 0.000 5.420" Properties=species:S:1:pos:R:3 pbc="T T T"
Sr 0.000 2.887 0.000
Sr 2.887 0.000 0.000
Ca 0.000 0.000 2.710
Tl 2.887 2.887 2.710
Rh 2.887 2.887 0.000
```

Properties
The calculation puts the electronic total energy at -15.77 eV for the cell shown. The space group is No. 123. Its crystal system is tetragonal. As for the magnetization: 0.000 μB/atom.



Entry 3:
Here is a relaxed Sr2CaRhW crystal from Alexandria via LeMat-Bulk. Energies are from PBE.

extended XYZ file:
```
5
Lattice="5.807 0.000 0.000 0.000 5.807 0.000 0.000 0.000 4.756" Properties=species:S:1:pos:R:3 pbc="T T T"
Sr 0.000 2.903 0.000
Sr 2.903 0.000 0.000
Ca 0.000 0.000 0.000
Rh 2.903 2.903 2.378
W 0.000 0.000 2.378
```

Properties
The calculation puts the electronic total energy at -15.97 eV for the cell shown. The space group is No. 123. Its crystal system is tetragonal. As for the magnetization: 0.303 μB/atom.



Entry 4:
Here is a relaxed SrCa2RhW crystal from Alexandria via LeMat-Bulk. Energies are from PBE.

extended XYZ file:
```
5
Lattice="5.820 0.000 0.000 0.000 5.820 0.000 0.000 0.000 4.758" Properties=species:S:1:pos:R:3 pbc="T T T"
Sr 0.000 0.000 0.000
Ca 0.000 2.910 0.000
Ca 2.910 0.000 0.000
Rh 0.000 0.000 2.379
W 2.910 2.910 2.379
```

Properties
The calculation puts the electronic total energy at -16.53 eV for the cell shown. The space group is No. 123. Its crystal system is tetragonal. As for the magnetization: 0.660 μB/atom.



Entry 5:
Here is a relaxed Sr2CaYRh crystal from Alexandria via LeMat-Bulk. Energies are from PBE.

extended XYZ file:
```
5
Lattice="5.965 0.000 0.000 0.000 5.965 0.000 0.000 0.000 5.410" Properties=species:S:1:pos:R:3 pbc="T T T"
Sr 0.000 2.982 0.000
Sr 2.982 0.000 0.000
Ca 0.000 0.000 2.705
Y 2.982 2.982 2.705
Rh 2.982 2.982 0.000
```

Properties
The calculation puts the electronic total energy at -20.02 eV for the cell shown. The space group is No. 123. Its crystal system is tetragonal. As for the magnetization: 0.000 μB/atom.



Entry 6:
Here is a relaxed SrCaZn2Rh crystal from Alexandria via LeMat-Bulk. Energies are from PBE.

extended XYZ file:
```
5
Lattice="5.042 0.000 0.000 0.000 5.042 0.000 0.000 0.000 5.092" Properties=species:S:1:pos:R:3 pbc="T T T"
Sr 0.000 0.000 0.000
Ca 2.521 2.521 0.000
Zn 0.000 2.521 2.546
Zn 2.521 0.000 2.546
Rh 2.521 2.521 2.546
```

Properties
The calculation puts the electronic total energy at -14.59 eV for the cell shown. The space group is No. 123. Its crystal system is tetragonal. As for the magnetization: 0.000 μB/atom.



Entry 7:
Here is a relaxed Sr2CaZnRh crystal from Alexandria via LeMat-Bulk. Energies are from PBE.

extended XYZ file:
```
5
Lattice="5.784 0.000 0.000 0.000 5.784 0.000 0.000 0.000 5.062" Properties=species:S:1:pos:R:3 pbc="T T T"
Sr 0.000 2.892 0.000
Sr 2.892 0.000 0.000
Ca 0.000 0.000 2.531
Zn 2.892 2.892 2.531
Rh 2.892 2.892 0.000
```

Properties
The calculation puts the electronic total energy at -14.28 eV for the cell shown. The space group is No. 123. Its crystal system is tetragonal. As for the magnetization: 0.000 μB/atom.



Entry 8:
Here is a relaxed SrCaZnRh crystal from Alexandria via LeMat-Bulk. Energies are from PBE.

extended XYZ file:
```
4
Lattice="3.778 -2.182 0.000 3.778 2.182 0.000 -2.526 0.000 7.330" Properties=species:S:1:pos:R:3 pbc="T T T"
Sr 0.000 0.000 0.000
Ca 5.028 0.000 3.544
Zn -0.008 0.000 5.289
Rh 2.512 0.000 5.310
```

Properties
The calculation puts the electronic total energy at -13.75 eV for the cell shown. The space group is No. 8. Its crystal system is monoclinic. As for the magnetization: 0.000 μB/atom.



- Among the records above, which one has the lowest electronic total energy?
  Sr2CaYRh



- The highest magnetization belongs to which entry?
  SrCa2RhW